# 1
A plane-wave DFT calculation with PBE was carried out for an optimized crystal structure of CdIn2I2Br2.

The calculation puts the total moment at 0.00 μB/f.u. The calculation puts the energy relative to the elements, uncorrected at -0.608 eV per atom. The value obtained for the density of states at the Fermi level is 0.00 states/eV/f.u.

The structure in extended XYZ format:
```
7
Lattice="7.985 -2.205 0.000 7.985 2.205 0.000 -4.322 0.000 7.455" Properties=species:S:1:pos:R:3 pbc="T T T"
Cd 0.000 0.000 0.000
In -0.227 0.000 4.221
In 11.874 0.000 3.234
I 6.538 0.000 1.504
I 5.109 0.000 5.951
Br 2.023 0.000 2.005
Br 9.625 0.000 5.449
```

# 2
A plane-wave DFT calculation with PBE was carried out for an optimized crystal structure of KCdIBr2.

The calculation puts the total moment at 0.00 μB/f.u. The calculation puts the energy relative to the elements, uncorrected at -1.113 eV per atom. The calculation puts the energy above the most stable polymorph in this dataset at 0 meV per atom. The value obtained for the density of states at the Fermi level is 0.00 states/eV/f.u.

The structure in extended XYZ format:
```
10
Lattice="8.115 0.000 0.000 0.000 6.051 0.000 -1.601 0.000 8.959" Properties=species:S:1:pos:R:3 pbc="T T T"
K 1.262 1.513 3.241
K 5.252 4.538 5.718
Cd 1.977 1.513 7.522
Cd 4.537 4.538 1.437
I -0.562 1.513 6.448
I 7.076 4.538 2.511
Br 2.683 4.538 3.291
Br 2.378 4.538 7.805
Br 4.136 1.513 1.154
Br 3.830 1.513 5.668
```

# 3
A plane-wave DFT calculation with PBE was carried out for an optimized crystal structure of KCdIBr2.

The calculation puts the total moment at 0.00 μB/f.u. The calculation puts the energy relative to the elements, uncorrected at -1.040 eV per atom. The calculation puts the energy above the most stable polymorph in this dataset at 73 meV per atom. The value obtained for the density of states at the Fermi level is 0.05 states/eV/f.u.

The structure in extended XYZ format:
```
5
Lattice="5.558 0.000 0.000 0.000 5.558 0.000 0.000 0.000 5.980" Properties=species:S:1:pos:R:3 pbc="T T T"
K 0.000 0.000 0.000
Cd 2.779 2.779 2.990
I 2.779 2.779 0.000
Br 0.000 2.779 2.990
Br 2.779 0.000 2.990
```

# 4
A plane-wave DFT calculation with PBE was carried out for an optimized crystal structure of K2CdIBr3.

The calculation puts the total moment at 0.00 μB/f.u. The calculation puts the energy relative to the elements, uncorrected at -1.235 eV per atom. The value obtained for the density of states at the Fermi level is 0.00 states/eV/f.u.

The structure in extended XYZ format:
```
7
Lattice="-2.833 2.966 8.255 2.833 -2.966 8.255 2.833 2.966 -8.255" Properties=species:S:1:pos:R:3 pbc="T T T"
K 0.000 0.000 2.294
K 0.000 0.000 14.216
Cd 0.000 0.000 8.255
I 2.833 0.000 0.000
Br 0.000 0.000 5.511
Br 0.000 2.966 0.000
Br 0.000 0.000 11.000
```

# 5
A plane-wave DFT calculation with PBE was carried out for an optimized crystal structure of La2CdI4Br2.

The calculation puts the total moment at 1.91 μB/f.u. The calculation puts the energy relative to the elements, uncorrected at -1.169 eV per atom. The value obtained for the density of states at the Fermi level is 1.94 states/eV/f.u.

The structure in extended XYZ format:
```
9
Lattice="4.202 0.000 0.000 -2.101 3.639 0.000 0.000 0.000 24.297" Properties=species:S:1:pos:R:3 pbc="T T T"
La 0.000 0.000 0.000
La 0.000 2.426 8.463
Cd 0.000 2.426 16.645
I 0.000 0.000 6.301
I 0.000 0.000 10.610
I 0.000 2.426 2.162
I 0.000 2.426 22.154
Br 0.000 0.000 14.952
Br 0.000 0.000 18.347
```

# 6
A plane-wave DFT calculation with PBE was carried out for an optimized crystal structure of CdI2BrN.

The calculation puts the total moment at 3.97 μB/f.u. The calculation puts the energy relative to the elements, uncorrected at 0.833 eV per atom. The calculation puts the energy above the most stable polymorph in this dataset at 0 meV per atom. The value obtained for the density of states at the Fermi level is 5.50 states/eV/f.u.

The structure in extended XYZ format:
```
5
Lattice="6.122 0.000 0.000 0.000 6.122 0.000 0.000 0.000 4.335" Properties=species:S:1:pos:R:3 pbc="T T T"
Cd 0.000 0.000 0.000
I 0.000 3.061 0.000
I 3.061 0.000 0.000
Br 3.061 3.061 2.168
N 0.000 0.000 2.168
```

# 7
A plane-wave DFT calculation with PBE was carried out for an optimized crystal structure of CdI2BrN.

The calculation puts the total moment at 0.00 μB/f.u. The calculation puts the energy relative to the elements, uncorrected at 1.001 eV per atom. The calculation puts the energy above the most stable polymorph in this dataset at 168 meV per atom. The value obtained for the density of states at the Fermi level is 3.58 states/eV/f.u.

The structure in extended XYZ format:
```
5
Lattice="7.689 0.000 0.000 0.000 7.689 0.000 0.000 0.000 3.564" Properties=species:S:1:pos:R:3 pbc="T T T"
Cd 0.000 0.000 0.000
I 0.000 3.844 1.782
I 3.844 0.000 1.782
Br 3.844 3.844 1.782
N 3.844 3.844 0.000
```

# 8
A plane-wave DFT calculation with PBE was carried out for an optimized crystal structure of NaCdIBr2.

The calculation puts the total moment at 0.00 μB/f.u. The calculation puts the energy relative to the elements, uncorrected at -0.846 eV per atom. The calculation puts the energy above the most stable polymorph in this dataset at 154 meV per atom.

The structure in extended XYZ format:
```
5
Lattice="5.493 0.000 0.000 0.000 5.493 0.000 0.000 0.000 6.008" Properties=species:S:1:pos:R:3 pbc="T T T"
Na 0.000 0.000 0.000
Cd 2.746 2.746 3.004
I 2.746 2.746 0.000
Br 0.000 2.746 3.004
Br 2.746 0.000 3.004
```

# 9
A plane-wave DFT calculation with PBE was carried out for an optimized crystal structure of NaCdIBr2.

The calculation puts the total moment at 0.00 μB/f.u. The calculation puts the energy relative to the elements, uncorrected at -1.000 eV per atom. The calculation puts the energy above the most stable polymorph in this dataset at 0 meV per atom. The value obtained for the density of states at the Fermi level is 0.00 states/eV/f.u.

The structure in extended XYZ format:
```
10
Lattice="7.846 0.000 0.000 0.000 5.986 0.000 -1.344 0.000 8.526" Properties=species:S:1:pos:R:3 pbc="T T T"
Na 0.866 1.496 3.764
Na 5.636 4.489 4.761
Cd -0.400 1.496 7.289
Cd 6.903 4.489 1.236
I 2.236 1.496 6.593
I 4.266 4.489 1.932
Br -0.905 4.489 7.484
Br 0.550 4.489 3.471
Br 5.953 1.496 5.055
Br 7.408 1.496 1.042
```

# 10
A plane-wave DFT calculation with PBE was carried out for an optimized crystal structure of NbCdI2Br.

The calculation puts the total moment at 3.88 μB/f.u. The calculation puts the energy relative to the elements, uncorrected at 0.551 eV per atom. The value obtained for the density of states at the Fermi level is 4.79 states/eV/f.u.

The structure in extended XYZ format:
```
5
Lattice="5.899 0.000 0.000 0.000 5.899 0.000 0.000 0.000 5.240" Properties=species:S:1:pos:R:3 pbc="T T T"
Nb 0.000 0.000 0.000
Cd 2.950 2.950 2.620
I 0.000 2.950 2.620
I 2.950 0.000 2.620
Br 2.950 2.950 0.000
```

# 11
A plane-wave DFT calculation with PBE was carried out for an optimized crystal structure of CdIBrO4.

The calculation puts the total moment at 0.05 μB/f.u. The calculation puts the energy relative to the elements, uncorrected at -0.336 eV per atom.

The structure in extended XYZ format:
```
14
Lattice="6.307 -3.795 0.000 6.307 3.795 0.000 -3.757 0.000 6.768" Properties=species:S:1:pos:R:3 pbc="T T T"
Cd 1.187 0.000 1.314
Cd 7.669 0.000 5.454
I 2.155 0.000 4.800
I 6.702 0.000 1.968
Br -2.260 0.000 5.454
Br 11.117 0.000 1.314
O 1.116 1.450 5.059
O 2.630 0.000 3.045
O 5.191 0.000 1.019
O 7.740 1.450 1.709
O 1.116 -1.450 5.059
O 3.665 0.000 5.749
O 6.227 0.000 3.723
O 7.740 -1.450 1.709
```

# 12
A plane-wave DFT calculation with PBE was carried out for an optimized crystal structure of CdIBrO2.

The calculation puts the total moment at 1.44 μB/f.u. The calculation puts the energy relative to the elements, uncorrected at 0.256 eV per atom. The calculation puts the energy above the most stable polymorph in this dataset at 0 meV per atom. The value obtained for the density of states at the Fermi level is 6.31 states/eV/f.u.

The structure in extended XYZ format:
```
5
Lattice="4.231 0.000 0.000 0.000 4.231 0.000 0.000 0.000 7.442" Properties=species:S:1:pos:R:3 pbc="T T T"
Cd 0.000 0.000 0.000
I 0.000 0.000 3.721
Br 2.115 2.115 3.721
O 0.000 2.115 0.000
O 2.115 0.000 0.000
```

What is the total moment in the seventh record?
0.00 μB/f.u.